# 1
A plane-wave DFT calculation with GGA-PBE was carried out for a relaxed structure of Tl3Bi2Te4.

The calculation puts the calculated volume at 36.3 Å³ per atom. The raw formation energy is -0.171 eV per atom. The value obtained for the total magnetization is 0.00 μB/atom.

The space group is C2/m (No. 12) and the conventional cell measures 14.7105, 5.7253 and 10.5281 Å, with angles of 90.00, 132.50 and 90.00 degrees. Symmetry generates all atoms from Tl at (0.0000, 0.0000, 0.0000), Tl at (0.1522, 0.5000, 0.7192), Bi at (0.1143, 0.5000, 0.3000), Te at (0.0969, 0.0000, 0.4051) and Te at (0.1695, 0.5000, 0.0578).

=====

# 2
A plane-wave DFT calculation with GGA-PBE was carried out for a relaxed structure of Tb8SbRu2.

The calculation puts the calculated volume at 27.9 Å³ per atom. The raw formation energy is -0.323 eV per atom. The value obtained for the total magnetization is 0.00 μB/atom.

The space group is C2/m (No. 12) and the conventional cell measures 8.6514, 13.0624 and 5.5947 Å, with angles of 90.00, 103.61 and 90.00 degrees. Symmetry generates all atoms from Tb at (0.0000, 0.2458, 0.0000), Tb at (0.1127, 0.5000, 0.7957), Tb at (0.2002, 0.1311, 0.5871), Sb at (0.0000, 0.0000, 0.0000) and Ru at (0.0000, 0.3098, 0.5000).

=====

# 3
A plane-wave DFT calculation with GGA-PBE was carried out for a relaxed structure of InFe2Ru2.

The calculation puts the calculated volume at 14.2 Å³ per atom. The value obtained for the total magnetization is 0.00 μB/atom. The energy above the most stable polymorph in this dataset is 80 meV per atom.

The space group is P4/mbm (No. 127) and the conventional cell measures 7.2474, 7.2474 and 2.7098 Å, with angles of 90.00, 90.00 and 90.00 degrees. Symmetry generates all atoms from In at (0.0000, 0.0000, 0.0000), Fe at (0.1646, 0.3354, 0.5000) and Ru at (0.1266, 0.6266, 0.0000).

=====

# 4
A plane-wave DFT calculation with GGA-PBE was carried out for a relaxed structure of Y3ErRh4.

The calculation puts the calculated volume at 20.1 Å³ per atom. Its total energy is -7.54 eV/atom. The value obtained for the total magnetization is 0.00 μB/atom.

The space group is C2/m (No. 12) and the conventional cell measures 14.5707, 4.8375 and 4.8376 Å, with angles of 90.00, 109.30 and 90.00 degrees. Symmetry generates all atoms from Y at (0.0000, 0.0000, 0.0000), Y at (0.2504, 0.0000, 0.2504), Er at (0.0000, 0.5000, 0.5000), Rh at (0.1237, 0.0000, 0.6237) and Rh at (0.1237, 0.5000, 0.1238).

=====

# 5
A plane-wave DFT calculation with GGA-PBE was carried out for a relaxed structure of ErZr2C.

The calculation puts the calculated volume at 20.5 Å³ per atom. Its total energy is -8.09 eV/atom. The value obtained for the total magnetization is 0.06 μB/atom.

The space group is R-3m (No. 166, hexagonal axes) and the conventional cell measures 3.3566, 3.3566 and 25.1918 Å, with angles of 90.00, 90.00 and 120.00 degrees. Symmetry generates all atoms from Er at (0.0000, 0.0000, 0.0000), Zr at (0.0000, 0.0000, 0.2173) and C at (0.0000, 0.0000, 0.5000).

=====

# 6
A plane-wave DFT calculation with GGA-PBE was carried out for a relaxed structure of Dy3HoEr6Th2.

The calculation puts the calculated volume at 31.1 Å³ per atom. Its total energy is -5.03 eV/atom. The value obtained for the total magnetization is 0.00 μB/atom.

The space group is C2/m (No. 12) and the conventional cell measures 6.1245, 10.6000 and 11.6706 Å, with angles of 90.00, 100.08 and 90.00 degrees. Symmetry generates all atoms from Dy at (0.0000, 0.0000, 0.0000), Dy at (0.0000, 0.3336, 0.0000), Ho at (0.0000, 0.5000, 0.5000), Er at (0.2460, 0.0000, 0.7484), Er at (0.2488, 0.1683, 0.2518) and Th at (0.0000, 0.1667, 0.5000).

=====

# 7
A plane-wave DFT calculation with GGA-PBE was carried out for a relaxed structure of La3PmSm.

The calculation puts the calculated volume at 37.1 Å³ per atom. The value obtained for the total magnetization is 0.00 μB/atom. The energy above the most stable polymorph in this dataset is 86 meV per atom.

The space group is P6_3/mmc (No. 194) and the conventional cell measures 7.9468, 7.9468 and 6.7742 Å, with angles of 90.00, 90.00 and 120.00 degrees. Symmetry generates all atoms from La at (0.1992, 0.3984, 0.2500), Pm at (0.3333, 0.6667, 0.7500) and Sm at (0.0000, 0.0000, 0.0000).

=====

# 8
A plane-wave DFT calculation with GGA-PBE was carried out for a relaxed structure of NaMgTl2Cl5.

The calculation puts the calculated volume at 28.6 Å³ per atom. The raw formation energy is -1.437 eV per atom. The value obtained for the total magnetization is 0.00 μB/atom.

The space group is Cmc2_1 (No. 36) and the conventional cell measures 3.9725, 17.3631 and 14.9494 Å, with angles of 90.00, 90.00 and 90.00 degrees. Symmetry generates all atoms from Na at (0.0000, 0.0365, 0.0000), Mg at (0.0000, 0.2790, 0.5736), Tl at (0.0000, 0.3549, 0.8438), Tl at (0.0000, 0.4158, 0.2068), Cl at (0.0000, 0.0082, 0.3311), Cl at (0.0000, 0.1368, 0.5418), Cl at (0.0000, 0.1979, 0.9653), Cl at (0.0000, 0.2351, 0.1886) and Cl at (0.0000, 0.4215, 0.6084).